A plane-wave DFT calculation with PBE+U was carried out for a geometry-optimized MoNOF2 structure.

Structure (CIF):
```
data_MoNOF2
_chemical_formula_sum 'Mo1 N1 O1 F2'
_cell_length_a 4.2008
_cell_length_b 4.2008
_cell_length_c 3.8325
_cell_angle_alpha 90.00
_cell_angle_beta 90.00
_cell_angle_gamma 90.00
_space_group_name_H-M_alt 'P 4/m m m'
_space_group_IT_number 123
_space_group_name_Hall '-P 4 2'
loop_
_atom_site_label
_atom_site_type_symbol
_atom_site_fract_x
_atom_site_fract_y
_atom_site_fract_z
Mo1 Mo 0.0000 0.0000 0.0000
N1 N 0.5000 0.5000 0.5000
O1 O 0.0000 0.0000 0.5000
F1 F 0.0000 0.5000 0.0000
```

Properties
**ΔE to the lowest computed polymorph**: 0.0000 eV per atom